(1)
Material: Rb2Nb2Cd
Method: DFT, PBE
State: optimized geometry

Results
Density (g cm⁻³): 4.904
Crystal system: tetragonal
Formation energy from the elements (eV per atom): 1.244
Magnetization (μB per cell): 0.00
Fermi-level density of states (states/eV/cell): 1.231

Cell lengths 8.779, 8.779, 8.779 Å; angles 150.98, 150.98, 41.50 degrees
Fractional positions:
Rb: 0.250 0.750 0.500
Rb: 0.750 0.250 0.500
Nb: 0.065 0.065 0.000
Nb: 0.935 0.935 0.000
Cd: 0.500 0.500 0.000

=====

(2)
Material: Hg2MoW
Method: DFT, PBE
State: optimized geometry

Results
Density (g cm⁻³): 15.535
Crystal system: trigonal
Relative energy among the computed polymorphs (meV per atom): 320.1
Formation energy from the elements (eV per atom): 0.765
Magnetization (μB per cell): 0.00
Fermi-level density of states (states/eV/cell): 2.836

Cell lengths 9.800, 9.800, 9.800 Å; angles 17.32, 17.32, 17.32 degrees
Fractional positions:
Hg: 0.250 0.250 0.250
Hg: 0.750 0.750 0.750
Mo: 0.000 0.000 0.000
W: 0.500 0.500 0.500

=====

(3)
Material: KTa2Ag
Method: DFT, PBE
State: optimized geometry

Results
Density (g cm⁻³): 9.923
Crystal system: trigonal
Relative energy among the computed polymorphs (meV per atom): 143.2
Formation energy from the elements (eV per atom): 0.676
Magnetization (μB per cell): 0.00
Fermi-level density of states (states/eV/cell): 5.337

Cell lengths 11.481, 11.481, 11.481 Å; angles 14.73, 14.73, 14.73 degrees
Fractional positions:
K: 0.000 0.000 0.000
Ta: 0.505 0.505 0.505
Ta: 0.763 0.763 0.763
Ag: 0.245 0.245 0.245

=====

(4)
Material: TaTlOs2
Method: DFT, PBE
State: optimized geometry

Results
Density (g cm⁻³): 17.098
Crystal system: monoclinic
Relative energy among the computed polymorphs (meV per atom): 326.0
Formation energy from the elements (eV per atom): 0.607
Magnetization (μB per cell): 0.00
Fermi-level density of states (states/eV/cell): 2.115

Cell lengths 2.906, 4.394, 5.911 Å; angles 90.00, 99.73, 90.00 degrees
Fractional positions:
Ta: 0.000 0.000 0.000
Tl: 0.500 0.000 0.500
Os: 0.378 0.500 0.197
Os: 0.622 0.500 0.803